Computed, not measured: a geometry-optimized Sc3SnN structure at the PBE level of DFT.

abc: 3.1564 6.0915 14.8839
angles: 90.00 90.00 90.00
Last column: nearest neighbours and their distance in Å.
Space group Amm2 (No. 38)
Inequivalent atoms, fractional coordinates:
Sc: 0.0000 0.0000 0.0000 (multiplicity 2)  1 N 2.18
Sc: 0.5000 0.2394 0.8394 (multiplicity 4)  2 N 2.16
Sn: 0.5000 0.0000 0.1726 (multiplicity 2)  4 Sc 2.95-3.02, 2 Sn 3.16
N: 0.0000 0.0000 0.8537 (multiplicity 2)  5 Sc 2.16-2.18

Properties
The value obtained for the formation energy (no corrections) is -382 meV per atom. The energy comes out at -6.646 eV/atom.